The following is a PBE+U calculation of an optimized crystal structure of CaTmCr2O8, from Alexandria.

POSCAR file:
```
CaTmCr2O8
1.0
-3.597 3.597 3.137
3.597 -3.597 3.137
3.597 3.597 -3.137
Ca Tm Cr O
1 1 2 8
direct
0.000 0.000 0.000
0.750 0.250 0.500
0.250 0.750 0.500
0.500 0.500 0.000
0.083 0.404 0.321
0.083 0.762 0.679
0.142 0.334 0.808
0.238 0.917 0.321
0.525 0.334 0.192
0.596 0.917 0.679
0.666 0.475 0.808
0.666 0.858 0.192
```

Output
DFT total energy = -7.24 eV per atom
SG = I-4m2 (119)
N(E_F) = 0.040 states/eV/atom